Record 1
The following is a PBE calculation of a relaxed structure of Sr2Cd3AgSn4, from Alexandria.

a = 4.761 Å, b = 4.761 Å, c = 12.430 Å
α = 90.00°, β = 90.00°, γ = 90.00°
Positions (direct):
Sr  0.000  0.500  0.234
Sr  0.500  0.000  0.766
Cd  0.000  0.000  0.000
Cd  0.000  0.500  0.645
Cd  0.500  0.000  0.355
Ag  0.500  0.500  0.000
Sn  0.000  0.000  0.500
Sn  0.000  0.500  0.868
Sn  0.500  0.000  0.132
Sn  0.500  0.500  0.500

Results
The total magnetization comes out at 0.00 μB/atom. The total energy comes out at -28.3 eV for the cell shown.

Record 2
The following is a PBE calculation of a relaxed structure of Sr2Cd12Ag3Sn, from Alexandria.

a = 11.894 Å, b = 11.894 Å, c = 11.894 Å
α = 34.72°, β = 34.72°, γ = 34.72°
Positions (direct):
Sr  0.139  0.139  0.139
Sr  0.861  0.861  0.861
Cd  0.078  0.618  0.618
Cd  0.088  0.088  0.683
Cd  0.088  0.683  0.088
Cd  0.317  0.912  0.912
Cd  0.382  0.382  0.922
Cd  0.382  0.922  0.382
Cd  0.618  0.078  0.618
Cd  0.618  0.618  0.078
Cd  0.683  0.088  0.088
Cd  0.912  0.317  0.912
Cd  0.912  0.912  0.317
Cd  0.922  0.382  0.382
Ag  0.000  0.500  0.500
Ag  0.500  0.000  0.500
Ag  0.500  0.500  0.000
Sn  0.500  0.500  0.500

Results
The total magnetization comes out at 0.00 μB/atom. The total energy comes out at -27.4 eV for the cell shown.

Record 3
The following is a PBE calculation of a relaxed structure of TaCdAg2Sn, from Alexandria.

a = 4.951 Å, b = 4.951 Å, c = 5.300 Å
α = 90.00°, β = 90.00°, γ = 90.00°
Positions (direct):
Ta  0.000  0.000  0.000
Cd  0.000  0.000  0.500
Ag  0.000  0.500  0.500
Ag  0.500  0.000  0.500
Sn  0.500  0.500  0.000

Results
The total magnetization comes out at 0.00 μB/atom. The total energy comes out at -16.6 eV for the cell shown.

Record 4
The following is a PBE calculation of a relaxed structure of CdAgSn2Te4, from Alexandria.

a = 7.534 Å, b = 4.371 Å, c = 7.573 Å
α = 90.00°, β = 109.96°, γ = 90.00°
Positions (direct):
Cd  0.000  0.000  0.000
Ag  0.000  0.500  0.500
Sn  0.500  0.000  0.500
Sn  0.500  0.500  0.000
Te  0.237  0.000  0.743
Te  0.239  0.500  0.248
Te  0.761  0.500  0.752
Te  0.763  0.000  0.257

Results
The total magnetization comes out at 0.00 μB/atom. The total energy comes out at -26.2 eV for the cell shown.

Record 5
The following is a PBE calculation of a relaxed structure of TmCdAgSn, from Alexandria.

a = 4.337 Å, b = 4.436 Å, c = 4.736 Å
α = 90.00°, β = 90.00°, γ = 90.00°
Positions (direct):
Tm  0.000  0.000  0.000
Cd  0.000  0.500  0.500
Ag  0.500  0.000  0.500
Sn  0.500  0.500  0.000

Results
The total magnetization comes out at 0.00 μB/atom. The distance to the lowest polymorph of the same formula comes out at 0.000 eV per atom.

Record 6
The following is a PBE calculation of a relaxed structure of TmCdAgSn, from Alexandria.

a = 5.062 Å, b = 5.062 Å, c = 5.062 Å
α = 60.00°, β = 60.00°, γ = 60.00°
Positions (direct):
Tm  0.000  0.000  0.000
Cd  0.500  0.500  0.500
Ag  0.750  0.750  0.750
Sn  0.250  0.250  0.250

Results
The total magnetization comes out at 0.00 μB/atom. The distance to the lowest polymorph of the same formula comes out at 0.085 eV per atom.

Record 7
The following is a PBE calculation of a relaxed structure of YCd2AgSn, from Alexandria.

a = 5.848 Å, b = 5.848 Å, c = 5.793 Å
α = 90.00°, β = 90.00°, γ = 90.00°
Positions (direct):
Y  0.000  0.000  0.000
Cd  0.000  0.500  0.000
Cd  0.500  0.000  0.000
Ag  0.500  0.500  0.500
Sn  0.000  0.000  0.500

Results
The total magnetization comes out at 0.00 μB/atom. The total energy comes out at -11.2 eV for the cell shown.

Record 8
The following is a PBE calculation of a relaxed structure of Zn2Cd2Ag5Sn, from Alexandria.

a = 9.448 Å, b = 9.448 Å, c = 4.339 Å
α = 90.00°, β = 90.00°, γ = 90.00°
Positions (direct):
Zn  0.117  0.383  0.000
Zn  0.383  0.883  0.000
Zn  0.617  0.117  0.000
Zn  0.883  0.617  0.000
Cd  0.177  0.677  0.000
Cd  0.323  0.177  0.000
Cd  0.677  0.823  0.000
Cd  0.823  0.323  0.000
Ag  0.000  0.500  0.500
Ag  0.081  0.204  0.500
Ag  0.204  0.919  0.500
Ag  0.296  0.419  0.500
Ag  0.419  0.704  0.500
Ag  0.500  0.000  0.500
Ag  0.581  0.296  0.500
Ag  0.704  0.581  0.500
Ag  0.796  0.081  0.500
Ag  0.919  0.796  0.500
Sn  0.000  0.000  0.000
Sn  0.500  0.500  0.000

Results
The total magnetization comes out at 0.00 μB/atom. The total energy comes out at -44.8 eV for the cell shown.

Record 9
The following is a PBE calculation of a relaxed structure of ZnCdAgSn, from Alexandria.

a = 4.923 Å, b = 4.923 Å, c = 4.923 Å
α = 60.00°, β = 60.00°, γ = 60.00°
Positions (direct):
Zn  0.000  0.000  0.000
Cd  0.250  0.250  0.250
Ag  0.500  0.500  0.500
Sn  0.750  0.750  0.750

Results
The total magnetization comes out at 0.00 μB/atom. The total energy comes out at -8.6 eV for the cell shown.

Record 10
The following is a PBE calculation of a relaxed structure of Sr2Cd12Ag7, from Alexandria.

a = 10.930 Å, b = 10.930 Å, c = 4.692 Å
α = 90.00°, β = 90.00°, γ = 120.00°
Positions (direct):
Sr  0.000  0.000  0.000
Sr  0.333  0.667  0.500
Cd  0.009  0.289  0.500
Cd  0.164  0.775  0.000
Cd  0.225  0.389  0.000
Cd  0.280  0.991  0.500
Cd  0.369  0.202  0.000
Cd  0.548  0.405  0.500
Cd  0.595  0.143  0.500
Cd  0.611  0.836  0.000
Cd  0.711  0.720  0.500
Cd  0.798  0.167  0.000
Cd  0.833  0.631  0.000
Cd  0.857  0.452  0.500
Ag  0.019  0.474  0.000
Ag  0.237  0.236  0.500
Ag  0.455  0.981  0.000
Ag  0.526  0.545  0.000
Ag  0.667  0.333  0.000
Ag  0.764  0.001  0.500
Ag  0.999  0.763  0.500

Results
The total magnetization comes out at 0.00 μB/atom. The total energy comes out at -37.3 eV for the cell shown.

Record 11
The following is a PBE calculation of a relaxed structure of Sr2Cd4Ag5, from Alexandria.

a = 10.326 Å, b = 9.502 Å, c = 5.895 Å
α = 80.54°, β = 65.19°, γ = 34.27°
Positions (direct):
Sr  0.134  0.134  0.866
Sr  0.866  0.866  0.134
Cd  0.213  0.529  0.471
Cd  0.471  0.787  0.213
Cd  0.529  0.213  0.787
Cd  0.787  0.471  0.529
Ag  0.000  0.000  0.500
Ag  0.250  0.250  0.250
Ag  0.500  0.500  0.000
Ag  0.500  0.500  0.500
Ag  0.750  0.750  0.750

Results
The total magnetization comes out at 0.00 μB/atom. The distance to the lowest polymorph of the same formula comes out at 0.000 eV per atom.

Record 12
The following is a PBE calculation of a relaxed structure of Sr4CdAg, from Alexandria.

a = 7.288 Å, b = 7.288 Å, c = 7.288 Å
α = 60.00°, β = 60.00°, γ = 60.00°
Positions (direct):
Sr  0.125  0.125  0.125
Sr  0.125  0.125  0.625
Sr  0.125  0.625  0.125
Sr  0.625  0.125  0.125
Cd  0.500  0.500  0.500
Ag  0.750  0.750  0.750

Results
The total magnetization comes out at 0.00 μB/atom. The distance to the lowest polymorph of the same formula comes out at 0.657 eV per atom.

Record 13
The following is a PBE calculation of a relaxed structure of SrCdAg3, from Alexandria.

a = 6.956 Å, b = 6.956 Å, c = 5.967 Å
α = 90.00°, β = 90.00°, γ = 120.00°
Positions (direct):
Sr  0.333  0.667  0.250
Sr  0.667  0.333  0.750
Cd  0.000  0.000  0.000
Cd  0.000  0.000  0.500
Ag  0.200  0.400  0.750
Ag  0.200  0.800  0.750
Ag  0.400  0.200  0.250
Ag  0.600  0.800  0.750
Ag  0.800  0.200  0.250
Ag  0.800  0.600  0.250

Results
The total magnetization comes out at 0.00 μB/atom. The distance to the lowest polymorph of the same formula comes out at 0.037 eV per atom.

Record 14
The following is a PBE calculation of a relaxed structure of SrCd5Ag3, from Alexandria.

a = 7.567 Å, b = 7.567 Å, c = 13.581 Å
α = 90.00°, β = 90.00°, γ = 145.30°
Positions (direct):
Sr  0.160  0.840  0.750
Sr  0.840  0.160  0.250
Cd  0.000  0.000  0.000
Cd  0.000  0.000  0.500
Cd  0.198  0.802  0.046
Cd  0.198  0.802  0.454
Cd  0.428  0.572  0.645
Cd  0.428  0.572  0.855
Cd  0.572  0.428  0.145
Cd  0.572  0.428  0.355
Cd  0.802  0.198  0.546
Cd  0.802  0.198  0.954
Ag  0.157  0.843  0.250
Ag  0.389  0.611  0.069
Ag  0.389  0.611  0.431
Ag  0.611  0.389  0.569
Ag  0.611  0.389  0.931
Ag  0.843  0.157  0.750

Results
The total magnetization comes out at 0.00 μB/atom. The total energy comes out at -31.5 eV for the cell shown.

Record 15
The following is a PBE calculation of a relaxed structure of Sr3Cd4Ag4, from Alexandria.

a = 4.155 Å, b = 4.828 Å, c = 15.322 Å
α = 98.77°, β = 97.76°, γ = 90.07°
Positions (direct):
Sr  0.000  0.000  0.000
Sr  0.144  0.644  0.289
Sr  0.856  0.356  0.711
Cd  0.255  0.256  0.512
Cd  0.404  0.905  0.810
Cd  0.596  0.095  0.190
Cd  0.745  0.744  0.488
Ag  0.313  0.811  0.623
Ag  0.452  0.452  0.906
Ag  0.548  0.548  0.094
Ag  0.687  0.189  0.377

Results
The total magnetization comes out at 0.00 μB/atom. The total energy comes out at -23.1 eV for the cell shown.

Record 16
The following is a PBE calculation of a relaxed structure of SrCd2Ag, from Alexandria.

a = 5.252 Å, b = 5.252 Å, c = 5.252 Å
α = 60.00°, β = 60.00°, γ = 60.00°
Positions (direct):
Sr  0.000  0.000  0.000
Cd  0.250  0.250  0.250
Cd  0.750  0.750  0.750
Ag  0.500  0.500  0.500

Results
The total magnetization comes out at 0.00 μB/atom. The total energy comes out at -7.0 eV for the cell shown.

Record 17
The following is a PBE calculation of a relaxed structure of SrCd2Ag3, from Alexandria.

a = 7.193 Å, b = 7.193 Å, c = 5.746 Å
α = 90.00°, β = 90.00°, γ = 84.47°
Positions (direct):
Sr  0.206  0.794  0.750
Sr  0.794  0.206  0.250
Cd  0.265  0.265  0.000
Cd  0.265  0.265  0.500
Cd  0.735  0.735  0.000
Cd  0.735  0.735  0.500
Ag  0.051  0.575  0.250
Ag  0.425  0.949  0.250
Ag  0.444  0.556  0.250
Ag  0.556  0.444  0.750
Ag  0.575  0.051  0.750
Ag  0.949  0.425  0.750

Results
The total magnetization comes out at 0.00 μB/atom. The distance to the lowest polymorph of the same formula comes out at 0.044 eV per atom.

Record 18
The following is a PBE calculation of a relaxed structure of Sr4CdAg, from Alexandria.

a = 4.057 Å, b = 4.057 Å, c = 14.198 Å
α = 90.00°, β = 90.00°, γ = 90.00°
Positions (direct):
Sr  0.000  0.000  0.132
Sr  0.000  0.000  0.868
Sr  0.500  0.500  0.359
Sr  0.500  0.500  0.641
Cd  0.000  0.000  0.500
Ag  0.500  0.500  0.000

Results
The total magnetization comes out at 0.00 μB/atom. The distance to the lowest polymorph of the same formula comes out at 0.000 eV per atom.

Record 19
The following is a PBE calculation of a relaxed structure of Sr2Cd2Ag, from Alexandria.

a = 8.816 Å, b = 8.816 Å, c = 4.553 Å
α = 90.00°, β = 90.00°, γ = 90.00°
Positions (direct):
Sr  0.172  0.328  0.000
Sr  0.328  0.828  0.000
Sr  0.672  0.172  0.000
Sr  0.828  0.672  0.000
Cd  0.124  0.624  0.500
Cd  0.376  0.124  0.500
Cd  0.624  0.876  0.500
Cd  0.876  0.376  0.500
Ag  0.000  0.000  0.000
Ag  0.500  0.500  0.000

Results
The total magnetization comes out at 0.00 μB/atom. The distance to the lowest polymorph of the same formula comes out at 0.266 eV per atom.

Record 20
The following is a PBE calculation of a relaxed structure of SrCd12Ag6, from Alexandria.

a = 7.962 Å, b = 7.962 Å, c = 7.962 Å
α = 104.91°, β = 104.91°, γ = 104.91°
Positions (direct):
Sr  0.000  0.000  0.000
Cd  0.113  0.500  0.887
Cd  0.113  0.887  0.500
Cd  0.134  0.388  0.388
Cd  0.388  0.134  0.388
Cd  0.388  0.388  0.134
Cd  0.500  0.113  0.887
Cd  0.500  0.887  0.113
Cd  0.612  0.612  0.866
Cd  0.612  0.866  0.612
Cd  0.866  0.612  0.612
Cd  0.887  0.113  0.500
Cd  0.887  0.500  0.113
Ag  0.286  0.286  0.703
Ag  0.286  0.703  0.286
Ag  0.297  0.714  0.714
Ag  0.703  0.286  0.286
Ag  0.714  0.297  0.714
Ag  0.714  0.714  0.297

Results
The total magnetization comes out at 0.00 μB/atom. The total energy comes out at -30.6 eV for the cell shown.